First-principles (GGA-PBE) data for a geometry-optimized Ca3Al2Ge3O12 structure, as listed in Alexandria via LeMat-Bulk.

Geometry as CIF:
```
data_Ca3Al2Ge3O12
_chemical_formula_sum 'Ca12 Al8 Ge12 O48'
_space_group_name_H-M_alt 'P 1'
_space_group_IT_number 1
_cell_length_a 10.6108
_cell_length_b 10.6108
_cell_length_c 10.6108
_cell_angle_alpha 109.47
_cell_angle_beta 109.47
_cell_angle_gamma 109.47
loop_
_space_group_symop_operation_xyz
'x,y,z'
loop_
_atom_site_label
_atom_site_fract_x
_atom_site_fract_y
_atom_site_fract_z
_atom_site_occupancy
Ca1 0.1250 0.2500 0.3750 1
Ca2 0.1250 0.3750 0.7500 1
Ca3 0.2500 0.3750 0.1250 1
Ca4 0.2500 0.8750 0.6250 1
Ca5 0.3750 0.1250 0.2500 1
Ca6 0.3750 0.7500 0.1250 1
Ca7 0.6250 0.2500 0.8750 1
Ca8 0.6250 0.8750 0.7500 1
Ca9 0.7500 0.1250 0.3750 1
Ca10 0.7500 0.6250 0.8750 1
Ca11 0.8750 0.6250 0.2500 1
Ca12 0.8750 0.7500 0.6250 1
Al1 0.0000 0.0000 0.0000 1
Al2 0.0000 0.0000 0.5000 1
Al3 0.0000 0.5000 0.0000 1
Al4 0.0000 0.5000 0.5000 1
Al5 0.5000 0.0000 0.0000 1
Al6 0.5000 0.0000 0.5000 1
Al7 0.5000 0.5000 0.0000 1
Al8 0.5000 0.5000 0.5000 1
Ge1 0.1250 0.7500 0.8750 1
Ge2 0.1250 0.8750 0.2500 1
Ge3 0.2500 0.1250 0.8750 1
Ge4 0.2500 0.6250 0.3750 1
Ge5 0.3750 0.2500 0.6250 1
Ge6 0.3750 0.6250 0.7500 1
Ge7 0.6250 0.3750 0.2500 1
Ge8 0.6250 0.7500 0.3750 1
Ge9 0.7500 0.3750 0.6250 1
Ge10 0.7500 0.8750 0.1250 1
Ge11 0.8750 0.1250 0.7500 1
Ge12 0.8750 0.2500 0.1250 1
O1 0.0148 0.1951 0.1151 1
O2 0.0148 0.3198 0.8997 1
O3 0.0799 0.6951 0.6802 1
O4 0.0799 0.8849 0.3997 1
O5 0.1003 0.6151 0.4201 1
O6 0.1003 0.9852 0.6802 1
O7 0.1151 0.0148 0.1951 1
O8 0.1151 0.6003 0.9201 1
O9 0.1802 0.1951 0.5799 1
O10 0.1802 0.4852 0.6003 1
O11 0.1951 0.1151 0.0148 1
O12 0.1951 0.5799 0.1802 1
O13 0.3049 0.3198 0.9201 1
O14 0.3049 0.4852 0.3849 1
O15 0.3198 0.8997 0.0148 1
O16 0.3198 0.9201 0.3049 1
O17 0.3849 0.3049 0.4852 1
O18 0.3849 0.5799 0.8997 1
O19 0.3997 0.0799 0.8849 1
O20 0.3997 0.8198 0.5148 1
O21 0.4201 0.1003 0.6151 1
O22 0.4201 0.8198 0.8049 1
O23 0.4852 0.3849 0.3049 1
O24 0.4852 0.6003 0.1802 1
O25 0.5148 0.3997 0.8198 1
O26 0.5148 0.6151 0.6951 1
O27 0.5799 0.1802 0.1951 1
O28 0.5799 0.8997 0.3849 1
O29 0.6003 0.1802 0.4852 1
O30 0.6003 0.9201 0.1151 1
O31 0.6151 0.4201 0.1003 1
O32 0.6151 0.6951 0.5148 1
O33 0.6802 0.0799 0.6951 1
O34 0.6802 0.1003 0.9852 1
O35 0.6951 0.5148 0.6151 1
O36 0.6951 0.6802 0.0799 1
O37 0.8049 0.4201 0.8198 1
O38 0.8049 0.8849 0.9852 1
O39 0.8198 0.5148 0.3997 1
O40 0.8198 0.8049 0.4201 1
O41 0.8849 0.3997 0.0799 1
O42 0.8849 0.9852 0.8049 1
O43 0.8997 0.0148 0.3198 1
O44 0.8997 0.3849 0.5799 1
O45 0.9201 0.1151 0.6003 1
O46 0.9201 0.3049 0.3198 1
O47 0.9852 0.6802 0.1003 1
O48 0.9852 0.8049 0.8849 1
```

Properties
Raw total energy (eV per cell): -550.22
Space group: No. 230
Raw formation energy (kJ per mole of atoms): -245
Spin magnetization (μB/cell): 0.000
Density (g cm⁻³): 4.22
DOS(E_F) (states/eV per atom): 0.000

First-principles (GGA-PBE) data for a geometry-optimized MgZn11Ni structure, as listed in Alexandria via LeMat-Bulk.

Geometry as CIF:
```
data_MgZn11Ni
_chemical_formula_sum 'Mg1 Zn11 Ni1'
_space_group_name_H-M_alt 'P 1'
_space_group_IT_number 1
_cell_length_a 6.8516
_cell_length_b 6.8516
_cell_length_c 6.4877
_cell_angle_alpha 97.91
_cell_angle_beta 97.91
_cell_angle_gamma 135.60
loop_
_space_group_symop_operation_xyz
'x,y,z'
loop_
_atom_site_label
_atom_site_fract_x
_atom_site_fract_y
_atom_site_fract_z
_atom_site_occupancy
Mg1 0.0000 0.0000 0.0000 1
Zn1 0.0000 0.5000 0.0000 1
Zn2 0.0105 0.6712 0.6439 1
Zn3 0.2732 0.4859 0.7842 1
Zn4 0.3288 0.9895 0.3561 1
Zn5 0.4859 0.2732 0.7842 1
Zn6 0.5000 0.0000 0.0000 1
Zn7 0.5000 0.5000 0.5000 1
Zn8 0.5141 0.7268 0.2158 1
Zn9 0.6712 0.0105 0.6439 1
Zn10 0.7268 0.5141 0.2158 1
Zn11 0.9895 0.3288 0.3561 1
Ni1 0.0000 0.0000 0.5000 1
```

Properties
Raw total energy (eV per cell): -22.16
Space group: No. 12
Spin magnetization (μB/cell): 0.000
Density (g cm⁻³): 6.71
DFT formation energy (eV per formula unit): -0.768
DOS(E_F) (states/eV per atom): 0.322

First-principles (GGA-PBE) data for a geometry-optimized CrGeTeRu structure, as listed in Alexandria via LeMat-Bulk.

Geometry as CIF:
```
data_CrGeTeRu
_chemical_formula_sum 'Cr1 Ge1 Te1 Ru1'
_space_group_name_H-M_alt 'P 1'
_space_group_IT_number 1
_cell_length_a 3.0317
_cell_length_b 6.5959
_cell_length_c 6.5959
_cell_angle_alpha 34.13
_cell_angle_beta 90.00
_cell_angle_gamma 90.00
loop_
_space_group_symop_operation_xyz
'x,y,z'
loop_
_atom_site_label
_atom_site_fract_x
_atom_site_fract_y
_atom_site_fract_z
_atom_site_occupancy
Cr1 0.0000 0.0000 0.0000 1
Ge1 0.0000 0.3593 0.3593 1
Te1 0.5000 0.6111 0.6111 1
Ru1 0.5000 0.8262 0.8262 1
```

Properties
Raw total energy (eV per cell): -26.49
Space group: No. 38
Raw formation energy (kJ per mole of atoms): 4
Spin magnetization (μB/cell): 2.367
Energy above the most stable polymorph in this dataset (eV/atom): 0.038
Density (g cm⁻³): 7.93
DOS(E_F) (states/eV per atom): 0.793

First-principles (GGA-PBE) data for a geometry-optimized Co2AgAs structure, as listed in Alexandria via LeMat-Bulk.

Geometry as CIF:
```
data_Co2AgAs
_chemical_formula_sum 'Co2 Ag1 As1'
_space_group_name_H-M_alt 'P 1'
_space_group_IT_number 1
_cell_length_a 2.8840
_cell_length_b 2.8840
_cell_length_c 6.4624
_cell_angle_alpha 90.00
_cell_angle_beta 90.00
_cell_angle_gamma 90.00
loop_
_space_group_symop_operation_xyz
'x,y,z'
loop_
_atom_site_label
_atom_site_fract_x
_atom_site_fract_y
_atom_site_fract_z
_atom_site_occupancy
Co1 0.0000 0.0000 0.2029 1
Co2 0.0000 0.0000 0.7971 1
Ag1 0.5000 0.5000 0.5000 1
As1 0.5000 0.5000 0.0000 1
```

Properties
Raw total energy (eV per cell): -21.07
Space group: No. 123
Spin magnetization (μB/cell): 1.036
Density (g cm⁻³): 9.29
DFT formation energy (eV per formula unit): 0.645
DOS(E_F) (states/eV per atom): 0.689

First-principles (GGA-PBE) data for a geometry-optimized Dy2UTl3Se6 structure, as listed in Alexandria via LeMat-Bulk.

Geometry as CIF:
```
data_Dy2UTl3Se6
_chemical_formula_sum 'Dy2 U1 Tl3 Se6'
_space_group_name_H-M_alt 'P 1'
_space_group_IT_number 1
_cell_length_a 7.2651
_cell_length_b 7.2651
_cell_length_c 8.1660
_cell_angle_alpha 98.52
_cell_angle_beta 98.52
_cell_angle_gamma 119.92
loop_
_space_group_symop_operation_xyz
'x,y,z'
loop_
_atom_site_label
_atom_site_fract_x
_atom_site_fract_y
_atom_site_fract_z
_atom_site_occupancy
Dy1 0.1667 0.8333 0.0000 1
Dy2 0.8333 0.1667 0.0000 1
U1 0.5000 0.5000 0.0000 1
Tl1 0.0000 0.0000 0.5000 1
Tl2 0.3335 0.6665 0.5000 1
Tl3 0.6665 0.3335 0.5000 1
Se1 0.0964 0.4318 0.7956 1
Se2 0.2328 0.2328 0.2040 1
Se3 0.4318 0.0964 0.7956 1
Se4 0.5682 0.9036 0.2044 1
Se5 0.7672 0.7672 0.7960 1
Se6 0.9036 0.5682 0.2044 1
```

Properties
Raw total energy (eV per cell): -62.88
Space group: No. 12
Raw formation energy (kJ per mole of atoms): -116
Spin magnetization (μB/cell): 3.005
Density (g cm⁻³): 7.68
DOS(E_F) (states/eV per atom): 0.719